Compound: CsSnN2
Source: the Alexandria database
Functional: PBE
Structure: optimized geometry

- Calculated density: 3.4 g/cm3
- Symmetry: R-3m
- Magnetic moment: 0.2500 μB per atom
- Total energy: -4.289 eV per atom
- Volume: 136.6 Å³/cell

a = 7.8287 Å, b = 7.8287 Å, c = 7.8287 Å
α = 34.40°, β = 34.40°, γ = 34.40°
Each line ends with the local moment (μB).
Positions (direct):
N 0.9135 0.9135 0.9135  0.38
N 0.0865 0.0865 0.0865  0.38
Cs 0.5000 0.5000 0.5000  0.02
Sn 0.0000 0.0000 0.0000  -0.08